{
  "formula": "Li3Si2Ni2O8",
  "functional": "PBE with a Hubbard U",
  "state": "optimized geometry",
  "lattice_angstrom": [[4.976, 0.002, -0.002], [0.050, 5.348, 0.051], [0.012, 0.062, 6.442]],
  "species": ["O", "Si", "Ni", "O", "O", "Ni", "Li", "O", "Li", "O", "Si", "O", "O", "O", "Li"],
  "fractional_positions": [[0.611, 0.820, 0.040], [0.996, 0.322, 0.749], [0.998, 0.826, 0.977], [0.158, 0.689, 0.241], [0.669, 0.262, 0.736], [0.503, 0.170, 0.496], [0.998, 0.820, 0.498], [0.056, 0.617, 0.740], [0.498, 0.169, 0.996], [0.595, 0.386, 0.270], [0.488, 0.685, 0.246], [0.599, 0.843, 0.449], [0.125, 0.184, 0.538], [0.100, 0.191, 0.969], [0.006, 0.348, 0.243]],
  "final_energy_ev_per_cell": -91.3,
  "relative_energy_mev_per_atom": 0.0,
  "total_magnetization_mub_per_cell": 5.0
}